Entry from Alexandria via LeMat-Bulk: a relaxed K3Al2BiO6 crystal (PBE).

Values from the calculation:
- V (Å³/cell) = 232.7
- formation energy from raw total energies (eV per atom) = -1.8797

Lattice parameters (Å, degrees): 6.0986 6.0986 7.2244 90.00 90.00 120.00
Element x y z (fractional)
K1 0.0000 0.0000 0.0000
K2 0.3333 0.6667 0.7496
K3 0.6667 0.3333 0.2504
Al1 0.6667 0.3333 0.7115
Al2 0.3333 0.6667 0.2885
O1 0.1716 0.8284 0.2868
O2 0.6568 0.8284 0.2868
O3 0.3432 0.1716 0.7132
O4 0.8284 0.1716 0.7132
O5 0.8284 0.6568 0.7132
O6 0.1716 0.3432 0.2868
Bi1 0.0000 0.0000 0.5000

Entry from Alexandria via LeMat-Bulk: a relaxed DyErPu2S4 crystal (PBE).

Values from the calculation:
- V (Å³/cell) = 170.3
- formation energy from raw total energies (eV per atom) = -1.9016

Lattice parameters (Å, degrees): 3.9063 6.7660 6.8281 109.28 90.00 90.00
Last column: magnetic moment on the atom in μB.
Element x y z (fractional)
Er1 0.0000 0.0000 0.0000  0.03
S1 0.0000 0.7499 0.2451  -0.05
S2 0.5000 0.2461 0.2437  -0.05
S3 0.5000 0.7539 0.7563  -0.05
S4 0.0000 0.2501 0.7549  -0.05
Pu1 0.5000 0.0000 0.5000  5.35
Pu2 0.0000 0.5000 0.5000  5.38
Dy1 0.5000 0.5000 0.0000  0.03

Entry from Alexandria via LeMat-Bulk: a relaxed TcAg2P crystal (PBE).

Values from the calculation:
- VASP energy (eV/atom) = -5.15
- V (Å³/cell) = 68.9

Lattice parameters (Å, degrees): 6.7883 6.7883 6.7883 155.54 147.80 40.85
Element x y z (fractional)
Ag1 0.6860 0.6860 0.0000
Ag2 0.3140 0.3140 0.0000
Tc1 0.0000 0.5000 0.5000
P1 0.5000 0.0000 0.5000

Entry from Alexandria via LeMat-Bulk: a relaxed VCuSb crystal (PBE).

Values from the calculation:
- V (Å³/cell) = 99.8
- E above lowest polymorph (meV/atom) = 6.1
- formation energy from raw total energies (eV per atom) = -0.0647

Lattice parameters (Å, degrees): 7.1669 3.8820 3.8816 90.00 105.69 105.69
Element x y z (fractional)
Cu1 0.5340 0.7953 0.7291
Cu2 0.0926 0.0739 0.0082
Sb1 0.5034 0.2799 0.2138
Sb2 0.1234 0.5893 0.5234
V1 0.8134 0.4346 0.8685
V2 0.8134 0.9346 0.3686

Copy entry 4 word for word.
Entry from Alexandria via LeMat-Bulk: a relaxed VCuSb crystal (PBE).

Values from the calculation:
- V (Å³/cell) = 99.8
- E above lowest polymorph (meV/atom) = 6.1
- formation energy from raw total energies (eV per atom) = -0.0647

Lattice parameters (Å, degrees): 7.1669 3.8820 3.8816 90.00 105.69 105.69
Element x y z (fractional)
Cu1 0.5340 0.7953 0.7291
Cu2 0.0926 0.0739 0.0082
Sb1 0.5034 0.2799 0.2138
Sb2 0.1234 0.5893 0.5234
V1 0.8134 0.4346 0.8685
V2 0.8134 0.9346 0.3686